No. 1
LiCu2Mo: optimized geometry, PBE.

a b c (Å): 9.145 9.145 9.145
angles (deg): 16.73 16.73 16.73
Each line ends with the local moment (μB).
Positions (direct):
Cu 0.996 0.996 0.996  0.01
Cu 0.253 0.253 0.253  0.00
Li 0.505 0.505 0.505  0.00
Mo 0.746 0.746 0.746  0.09

Computed properties:
- volume (Å³/cell) = 55
- formation enthalpy at 0 K (meV/atom) = 247


No. 2
LiCu2Mo: optimized geometry, PBE.

a b c (Å): 5.479 5.479 5.479
angles (deg): 153.17 130.95 56.79
Positions (direct):
Cu 0.989 0.989 0.000
Cu 0.771 0.271 0.500
Li 0.515 0.515 0.000
Mo 0.226 0.726 0.500

Computed properties:
- volume (Å³/cell) = 56
- formation enthalpy at 0 K (meV/atom) = 273


No. 3
LiCu2Mo: optimized geometry, PBE.

a b c (Å): 9.093 9.093 9.093
angles (deg): 16.84 16.84 16.84
Positions (direct):
Cu 0.999 0.999 0.999
Cu 0.501 0.501 0.501
Li 0.250 0.250 0.250
Mo 0.750 0.750 0.750

Computed properties:
- volume (Å³/cell) = 55
- formation enthalpy at 0 K (meV/atom) = 218


No. 4
LiCuMo3: optimized geometry, PBE.

a b c (Å): 4.555 4.555 4.555
angles (deg): 90.00 90.00 90.00
Positions (direct):
Mo 0.000 0.500 0.000
Mo 0.000 0.000 0.500
Mo 0.500 0.000 0.000
Cu 0.000 0.000 0.000
Li 0.500 0.500 0.500

Computed properties:
- volume (Å³/cell) = 95
- formation enthalpy at 0 K (meV/atom) = 1671


No. 5
LiCu2Mo: optimized geometry, PBE.

a b c (Å): 2.614 2.614 7.898
angles (deg): 90.00 90.00 90.33
Positions (direct):
Cu 0.000 0.000 0.006
Cu 0.000 0.000 0.494
Li 0.500 0.500 0.250
Mo 0.500 0.500 0.750

Computed properties:
- volume (Å³/cell) = 54
- formation enthalpy at 0 K (meV/atom) = 133


No. 6
LiCu2Mo: optimized geometry, PBE.

a b c (Å): 4.507 4.507 5.006
angles (deg): 84.00 84.00 32.35
Each line ends with the local moment (μB).
Positions (direct):
Cu 0.998 0.998 0.993  0.02
Cu 0.502 0.502 0.507  0.02
Li 0.750 0.750 0.750  0.00
Mo 0.250 0.250 0.250  0.36

Computed properties:
- volume (Å³/cell) = 54
- formation enthalpy at 0 K (meV/atom) = 357


No. 7
LiCuMo3: optimized geometry, PBE.

a b c (Å): 4.184 4.184 4.184
angles (deg): 90.00 90.00 90.00
Positions (direct):
Mo 0.000 0.500 0.000
Mo 0.000 0.000 0.500
Mo 0.500 0.000 0.000
Cu 0.500 0.500 0.500
Li 0.000 0.000 0.000

Computed properties:
- volume (Å³/cell) = 73
- formation enthalpy at 0 K (meV/atom) = 1343


No. 8
LiCu2Mo: optimized geometry, PBE.

a b c (Å): 2.516 3.935 5.430
angles (deg): 90.00 90.00 90.00
Positions (direct):
Cu 0.000 0.000 0.998
Cu 0.500 0.500 0.264
Li 0.000 0.000 0.466
Mo 0.500 0.500 0.772

Computed properties:
- volume (Å³/cell) = 54
- formation enthalpy at 0 K (meV/atom) = 277


No. 9
LiCu3Mo: optimized geometry, PBE.

a b c (Å): 4.739 4.739 4.739
angles (deg): 90.00 90.00 90.00
Positions (direct):
Mo 0.000 0.000 0.000
Cu 0.000 0.500 0.000
Cu 0.000 0.000 0.500
Cu 0.500 0.000 0.000
Li 0.500 0.500 0.500

Computed properties:
- volume (Å³/cell) = 106
- formation enthalpy at 0 K (meV/atom) = 1202


No. 10
LiCu4Mo: optimized geometry, PBE.

a b c (Å): 4.849 4.849 4.849
angles (deg): 60.00 60.00 60.00
Each line ends with the local moment (μB).
Positions (direct):
Li 0.750 0.750 0.750  0.00
Cu 0.874 0.375 0.375  0.09
Cu 0.375 0.375 0.874  0.09
Cu 0.375 0.874 0.375  0.09
Cu 0.375 0.375 0.375  0.09
Mo 0.000 0.000 0.000  2.00

Computed properties:
- volume (Å³/cell) = 81
- formation enthalpy at 0 K (meV/atom) = 289


No. 11
LiCu2Mo: optimized geometry, PBE.

a b c (Å): 6.577 6.577 5.294
angles (deg): 51.60 51.60 90.00
Positions (direct):
Mo 0.000 0.000 0.000
Mo 0.750 0.250 0.500
Cu 0.597 0.125 0.250
Cu 0.153 0.625 0.250
Cu 0.375 0.403 0.750
Cu 0.875 0.847 0.750
Li 0.500 0.500 0.000
Li 0.250 0.750 0.500

Computed properties:
- volume (Å³/cell) = 109
- formation enthalpy at 0 K (meV/atom) = 740


No. 12
Na2LiCuMo: optimized geometry, PBE.

a b c (Å): 5.292 4.805 5.292
angles (deg): 90.00 90.00 90.00
Each line ends with the local moment (μB).
Positions (direct):
Na 0.000 0.000 0.500  0.00
Na 0.500 0.000 0.000  -0.01
Mo 0.500 0.500 0.500  3.80
Cu 0.000 0.000 0.000  0.03
Li 0.000 0.500 0.000  -0.02

Computed properties:
- volume (Å³/cell) = 135
- formation enthalpy at 0 K (meV/atom) = 1132


No. 13
LiCuMoPd2: optimized geometry, PBE.

a b c (Å): 4.253 4.253 4.115
angles (deg): 90.00 90.00 90.00
Each line ends with the local moment (μB).
Positions (direct):
Mo 0.500 0.500 0.500  2.61
Cu 0.000 0.000 0.500  0.13
Pd 0.000 0.500 0.000  0.30
Pd 0.500 0.000 0.000  0.30
Li 0.000 0.000 0.000  -0.02

Computed properties:
- volume (Å³/cell) = 74
- formation enthalpy at 0 K (meV/atom) = 622


No. 14
Li2CuMoPt: optimized geometry, PBE.

a b c (Å): 4.866 4.722 4.866
angles (deg): 90.00 90.00 90.00
Each line ends with the local moment (μB).
Positions (direct):
Mo 0.000 0.000 0.000  1.94
Cu 0.500 0.500 0.500  0.04
Pt 0.000 0.500 0.000  0.13
Li 0.000 0.000 0.500  0.07
Li 0.500 0.000 0.000  0.09

Computed properties:
- volume (Å³/cell) = 112
- formation enthalpy at 0 K (meV/atom) = 1262


No. 15
Rb2LiCuMo: optimized geometry, PBE.

a b c (Å): 6.586 6.586 4.991
angles (deg): 90.00 90.00 90.00
Each line ends with the local moment (μB).
Positions (direct):
Mo 0.500 0.500 0.500  3.95
Cu 0.000 0.000 0.000  0.01
Rb 0.000 0.500 0.000  0.01
Rb 0.500 0.000 0.000  0.01
Li 0.000 0.000 0.500  0.01

Computed properties:
- volume (Å³/cell) = 216
- formation enthalpy at 0 K (meV/atom) = 1222